Computed, not measured: RbTaRh3 at its PBEsol-relaxed geometry at the meta-GGA SCAN level of DFT.

Cell: 4.6042 4.6042 4.6042 Å, 90.00 90.00 90.00°
With the nearest neighbours (Å) after each atom.
Element x y z (fractional)
Rb1 0.0000 0.0000 0.0000  6 Rh 2.30
Ta1 0.5000 0.5000 0.5000  12 Rh 3.26
Rh1 0.0000 0.0000 0.5000  2 Rb 2.30
Rh2 0.0000 0.5000 0.0000  2 Rb 2.30
Rh3 0.5000 0.0000 0.0000  2 Rb 2.30

Properties
ΔH_f (0 K)   2.616 eV/atom
Density of states at the Fermi level   4.1 states/eV/f.u.